Entry 1:
Here is a geometry-optimized CeInGaAu structure from Alexandria via LeMat-Bulk. Energies are from PBE.

* DFT formation energy: -0.51 eV per atom
* raw total energy: -68.1 eV for the cell shown
* total magnetization: 3.56 μB per cell

Cell and atoms, written as extended XYZ:
```
16
Lattice="7.107 0.000 0.000 0.000 7.107 0.000 0.000 0.000 7.107" Properties=species:S:1:pos:R:3 pbc="T T T"
Ce 0.000 0.000 0.000
Ce 0.000 3.553 3.553
Ce 3.553 0.000 3.553
Ce 3.553 3.553 0.000
In 0.000 0.000 3.553
In 0.000 3.553 0.000
In 3.553 0.000 0.000
In 3.553 3.553 3.553
Ga 1.777 1.777 1.777
Ga 1.777 5.330 5.330
Ga 5.330 1.777 5.330
Ga 5.330 5.330 1.777
Au 1.777 1.777 5.330
Au 1.777 5.330 1.777
Au 5.330 1.777 1.777
Au 5.330 5.330 5.330
```

---

Entry 2:
Here is a geometry-optimized PrAlSi2 structure from Alexandria via LeMat-Bulk. Energies are from PBE.

* E_form (uncorrected): -33.1 kJ per mole of atoms
* raw total energy: -62.2 eV for the cell shown
* total magnetization: 0.00 μB per cell

Cell and atoms, written as extended XYZ:
```
12
Lattice="4.306 0.000 0.000 -2.153 3.729 0.000 0.000 0.000 15.231" Properties=species:S:1:pos:R:3 pbc="T T T"
Pr 0.000 0.000 0.000
Pr 0.000 2.486 10.154
Pr 2.153 1.243 5.077
Al 0.000 0.000 7.615
Al 0.000 2.486 2.538
Al 2.153 1.243 12.692
Si 0.000 0.000 3.179
Si 0.000 0.000 12.051
Si 0.000 2.486 6.974
Si 0.000 2.486 13.333
Si 2.153 1.243 1.898
Si 2.153 1.243 8.256
```